## A
# KRe2Au

An optimized crystal structure of KRe2Au (PBE, Alexandria).

The structure in CIF format:
```
data_KRe2Au
_chemical_formula_sum 'K1 Re2 Au1'
_cell_length_a 2.704
_cell_length_b 2.704
_cell_length_c 10.812
_cell_angle_alpha 90.00
_cell_angle_beta 90.00
_cell_angle_gamma 110.95
_symmetry_space_group_name_H-M 'P 1'
_symmetry_Int_Tables_number 1
_symmetry_space_group_name_Hall 'P 1'
loop_
_atom_site_label
_atom_site_fract_x
_atom_site_fract_y
_atom_site_fract_z
Au1 0.500 0.500 0.250
Re1 0.000 0.000 0.028
Re2 0.000 0.000 0.472
K1 0.500 0.500 0.750
```

Values from the calculation:
Density of states at the Fermi level (states/eV/cell): 2.91



## B
# KRe2Au

An optimized crystal structure of KRe2Au (PBE, Alexandria).

The structure in CIF format:
```
data_KRe2Au
_chemical_formula_sum 'K2 Re4 Au2'
_cell_length_a 4.052
_cell_length_b 4.882
_cell_length_c 12.144
_cell_angle_alpha 93.00
_cell_angle_beta 98.41
_cell_angle_gamma 113.77
_symmetry_space_group_name_H-M 'P 1'
_symmetry_Int_Tables_number 1
_symmetry_space_group_name_Hall 'P 1'
loop_
_atom_site_label
_atom_site_fract_x
_atom_site_fract_y
_atom_site_fract_z
Re1 0.379 0.380 0.047
Au1 0.379 0.217 0.277
K1 0.298 0.503 0.746
K2 0.781 0.873 0.441
Re2 0.672 0.955 0.119
Re3 0.023 0.757 0.997
Au2 0.043 0.595 0.220
Re4 0.740 0.170 0.940
```

Values from the calculation:
Density of states at the Fermi level (states/eV/cell): 4.73



Relative energies in meV per atom: A 577; B 0



## A
# KRe2Au

An optimized crystal structure of KRe2Au (PBE, Alexandria).

The structure in CIF format:
```
data_KRe2Au
_chemical_formula_sum 'K2 Re4 Au2'
_cell_length_a 2.874
_cell_length_b 4.358
_cell_length_c 14.981
_cell_angle_alpha 90.00
_cell_angle_beta 94.27
_cell_angle_gamma 90.00
_symmetry_space_group_name_H-M 'P 1'
_symmetry_Int_Tables_number 1
_symmetry_space_group_name_Hall 'P 1'
loop_
_atom_site_label
_atom_site_fract_x
_atom_site_fract_y
_atom_site_fract_z
K1 0.948 0.500 0.542
Re1 0.600 0.500 0.935
Re2 0.163 0.500 0.088
Au1 0.506 0.000 0.690
Re3 0.079 0.000 0.885
K2 0.808 0.000 0.268
Re4 0.634 0.000 0.039
Au2 0.035 0.500 0.765
```

Values from the calculation:
Density of states at the Fermi level (states/eV/cell): 6.78



## B
# KRe2Au

An optimized crystal structure of KRe2Au (PBE, Alexandria).

The structure in CIF format:
```
data_KRe2Au
_chemical_formula_sum 'K1 Re2 Au1'
_cell_length_a 2.675
_cell_length_b 2.675
_cell_length_c 10.453
_cell_angle_alpha 90.00
_cell_angle_beta 90.00
_cell_angle_gamma 90.00
_symmetry_space_group_name_H-M 'P 1'
_symmetry_Int_Tables_number 1
_symmetry_space_group_name_Hall 'P 1'
loop_
_atom_site_label
_atom_site_fract_x
_atom_site_fract_y
_atom_site_fract_z
Re1 0.000 0.000 0.034
Au1 0.500 0.500 0.250
Re2 0.000 0.000 0.466
K1 0.500 0.500 0.750
```

Values from the calculation:
Density of states at the Fermi level (states/eV/cell): 2.25



Relative energies in meV per atom: A 0; B 757



## A
# KRe2Au

An optimized crystal structure of KRe2Au (PBE, Alexandria).

The structure in CIF format:
```
data_KRe2Au
_chemical_formula_sum 'K1 Re2 Au1'
_cell_length_a 3.884
_cell_length_b 3.884
_cell_length_c 8.899
_cell_angle_alpha 86.65
_cell_angle_beta 86.65
_cell_angle_gamma 42.12
_symmetry_space_group_name_H-M 'P 1'
_symmetry_Int_Tables_number 1
_symmetry_space_group_name_Hall 'P 1'
loop_
_atom_site_label
_atom_site_fract_x
_atom_site_fract_y
_atom_site_fract_z
Re1 0.015 0.015 0.927
Au1 0.478 0.478 0.545
K1 0.240 0.240 0.253
Re2 0.767 0.767 0.775
```

Values from the calculation:
Density of states at the Fermi level (states/eV/cell): 4.13



## B
# KRe2Au

An optimized crystal structure of KRe2Au (PBE, Alexandria).

The structure in CIF format:
```
data_KRe2Au
_chemical_formula_sum 'K1 Re2 Au1'
_cell_length_a 3.048
_cell_length_b 3.046
_cell_length_c 8.984
_cell_angle_alpha 90.00
_cell_angle_beta 90.00
_cell_angle_gamma 90.00
_symmetry_space_group_name_H-M 'P 1'
_symmetry_Int_Tables_number 1
_symmetry_space_group_name_Hall 'P 1'
loop_
_atom_site_label
_atom_site_fract_x
_atom_site_fract_y
_atom_site_fract_z
Re1 0.500 0.000 0.129
Re2 0.000 0.500 0.980
K1 0.000 0.500 0.460
Au1 0.500 0.000 0.749
```

Values from the calculation:
Density of states at the Fermi level (states/eV/cell): 3.01



Relative energies in meV per atom: A 194; B 0



## A
# KReAu3

An optimized crystal structure of KReAu3 (PBE, Alexandria).

The structure in CIF format:
```
data_KReAu3
_chemical_formula_sum 'K1 Re1 Au3'
_cell_length_a 5.421
_cell_length_b 5.421
_cell_length_c 5.421
_cell_angle_alpha 90.00
_cell_angle_beta 90.00
_cell_angle_gamma 90.00
_symmetry_space_group_name_H-M 'P 1'
_symmetry_Int_Tables_number 1
_symmetry_space_group_name_Hall 'P 1'
loop_
_atom_site_label
_atom_site_fract_x
_atom_site_fract_y
_atom_site_fract_z
Au1 0.000 0.500 0.000
Re1 0.500 0.500 0.500
K1 0.000 0.000 0.000
Au2 0.500 0.000 0.000
Au3 0.000 0.000 0.500
```

Values from the calculation:
Density of states at the Fermi level (states/eV/cell): 3.17



## B
# KReAu3

An optimized crystal structure of KReAu3 (PBE, Alexandria).

The structure in CIF format:
```
data_KReAu3
_chemical_formula_sum 'K1 Re1 Au3'
_cell_length_a 5.132
_cell_length_b 5.132
_cell_length_c 5.132
_cell_angle_alpha 90.00
_cell_angle_beta 90.00
_cell_angle_gamma 90.00
_symmetry_space_group_name_H-M 'P 1'
_symmetry_Int_Tables_number 1
_symmetry_space_group_name_Hall 'P 1'
loop_
_atom_site_label
_atom_site_fract_x
_atom_site_fract_y
_atom_site_fract_z
Au1 0.000 0.500 0.000
Au2 0.000 0.000 0.500
K1 0.500 0.500 0.500
Au3 0.500 0.000 0.000
Re1 0.000 0.000 0.000
```

Values from the calculation:
Density of states at the Fermi level (states/eV/cell): 4.96



Relative energies in meV per atom: A 1550; B 0



## A
# KRe3Au

An optimized crystal structure of KRe3Au (PBE, Alexandria).

The structure in CIF format:
```
data_KRe3Au
_chemical_formula_sum 'K1 Re3 Au1'
_cell_length_a 4.962
_cell_length_b 4.962
_cell_length_c 4.962
_cell_angle_alpha 90.00
_cell_angle_beta 90.00
_cell_angle_gamma 90.00
_symmetry_space_group_name_H-M 'P 1'
_symmetry_Int_Tables_number 1
_symmetry_space_group_name_Hall 'P 1'
loop_
_atom_site_label
_atom_site_fract_x
_atom_site_fract_y
_atom_site_fract_z
Re1 0.500 0.000 0.000
Re2 0.000 0.000 0.500
Au1 0.000 0.000 0.000
K1 0.500 0.500 0.500
Re3 0.000 0.500 0.000
```

Values from the calculation:
Density of states at the Fermi level (states/eV/cell): 14.66



## B
# KRe3Au

An optimized crystal structure of KRe3Au (PBE, Alexandria).

The structure in CIF format:
```
data_KRe3Au
_chemical_formula_sum 'K1 Re3 Au1'
_cell_length_a 4.507
_cell_length_b 4.507
_cell_length_c 4.507
_cell_angle_alpha 90.00
_cell_angle_beta 90.00
_cell_angle_gamma 90.00
_symmetry_space_group_name_H-M 'P 1'
_symmetry_Int_Tables_number 1
_symmetry_space_group_name_Hall 'P 1'
loop_
_atom_site_label
_atom_site_fract_x
_atom_site_fract_y
_atom_site_fract_z
Re1 0.000 0.000 0.500
Au1 0.500 0.500 0.500
Re2 0.000 0.500 0.000
Re3 0.500 0.000 0.000
K1 0.000 0.000 0.000
```

Values from the calculation:
Density of states at the Fermi level (states/eV/cell): 5.76



Relative energies in meV per atom: A 0; B 851



## A
# KRhAu2

An optimized crystal structure of KRhAu2 (PBE, Alexandria).

The structure in CIF format:
```
data_KRhAu2
_chemical_formula_sum 'K1 Rh1 Au2'
_cell_length_a 2.829
_cell_length_b 3.981
_cell_length_c 7.617
_cell_angle_alpha 90.00
_cell_angle_beta 90.00
_cell_angle_gamma 90.00
_symmetry_space_group_name_H-M 'P 1'
_symmetry_Int_Tables_number 1
_symmetry_space_group_name_Hall 'P 1'
loop_
_atom_site_label
_atom_site_fract_x
_atom_site_fract_y
_atom_site_fract_z
Au1 0.000 0.000 0.562
Rh1 0.500 0.500 0.750
Au2 0.000 0.000 0.938
K1 0.500 0.500 0.250
```

Values from the calculation:
Density of states at the Fermi level (states/eV/cell): 3.36



## B
# KRhAu2

An optimized crystal structure of KRhAu2 (PBE, Alexandria).

The structure in CIF format:
```
data_KRhAu2
_chemical_formula_sum 'K1 Rh1 Au2'
_cell_length_a 4.713
_cell_length_b 4.713
_cell_length_c 7.113
_cell_angle_alpha 84.90
_cell_angle_beta 84.90
_cell_angle_gamma 34.91
_symmetry_space_group_name_H-M 'P 1'
_symmetry_Int_Tables_number 1
_symmetry_space_group_name_Hall 'P 1'
loop_
_atom_site_label
_atom_site_fract_x
_atom_site_fract_y
_atom_site_fract_z
Au1 0.512 0.512 0.431
K1 0.750 0.750 0.750
Au2 0.988 0.988 0.069
Rh1 0.250 0.250 0.250
```

Values from the calculation:
Density of states at the Fermi level (states/eV/cell): 2.97



Relative energies in meV per atom: A 0; B 77



## A
# KRu2Au

An optimized crystal structure of KRu2Au (PBE, Alexandria).

The structure in CIF format:
```
data_KRu2Au
_chemical_formula_sum 'K1 Ru2 Au1'
_cell_length_a 2.719
_cell_length_b 2.719
_cell_length_c 9.932
_cell_angle_alpha 90.00
_cell_angle_beta 90.00
_cell_angle_gamma 90.00
_symmetry_space_group_name_H-M 'P 1'
_symmetry_Int_Tables_number 1
_symmetry_space_group_name_Hall 'P 1'
loop_
_atom_site_label
_atom_site_fract_x
_atom_site_fract_y
_atom_site_fract_z
Ru1 0.000 0.000 0.465
Au1 0.500 0.500 0.250
K1 0.500 0.500 0.750
Ru2 0.000 0.000 0.035
```

Values from the calculation:
Density of states at the Fermi level (states/eV/cell): 5.71



## B
# KRu2Au

An optimized crystal structure of KRu2Au (PBE, Alexandria).

The structure in CIF format:
```
data_KRu2Au
_chemical_formula_sum 'K1 Ru2 Au1'
_cell_length_a 4.720
_cell_length_b 4.720
_cell_length_c 4.720
_cell_angle_alpha 60.00
_cell_angle_beta 60.00
_cell_angle_gamma 60.00
_symmetry_space_group_name_H-M 'P 1'
_symmetry_Int_Tables_number 1
_symmetry_space_group_name_Hall 'P 1'
loop_
_atom_site_label
_atom_site_fract_x
_atom_site_fract_y
_atom_site_fract_z
Ru1 0.250 0.250 0.250
Ru2 0.750 0.750 0.750
K1 0.000 0.000 0.000
Au1 0.500 0.500 0.500
```

Values from the calculation:
Density of states at the Fermi level (states/eV/cell): 3.46



## C
# KRu2Au

An optimized crystal structure of KRu2Au (PBE, Alexandria).

The structure in CIF format:
```
data_KRu2Au
_chemical_formula_sum 'K1 Ru2 Au1'
_cell_length_a 4.780
_cell_length_b 3.978
_cell_length_c 3.978
_cell_angle_alpha 90.00
_cell_angle_beta 90.00
_cell_angle_gamma 90.00
_symmetry_space_group_name_H-M 'P 1'
_symmetry_Int_Tables_number 1
_symmetry_space_group_name_Hall 'P 1'
loop_
_atom_site_label
_atom_site_fract_x
_atom_site_fract_y
_atom_site_fract_z
Ru1 0.000 0.000 0.000
Ru2 0.000 0.500 0.500
Au1 0.500 0.500 0.000
K1 0.500 0.000 0.500
```

Values from the calculation:
Density of states at the Fermi level (states/eV/cell): 5.25



## D
# KRu2Au

An optimized crystal structure of KRu2Au (PBE, Alexandria).

The structure in CIF format:
```
data_KRu2Au
_chemical_formula_sum 'K1 Ru2 Au1'
_cell_length_a 4.914
_cell_length_b 2.771
_cell_length_c 6.291
_cell_angle_alpha 82.93
_cell_angle_beta 90.00
_cell_angle_gamma 90.00
_symmetry_space_group_name_H-M 'P 1'
_symmetry_Int_Tables_number 1
_symmetry_space_group_name_Hall 'P 1'
loop_
_atom_site_label
_atom_site_fract_x
_atom_site_fract_y
_atom_site_fract_z
Ru1 0.000 0.474 0.417
K1 0.500 0.750 0.750
Au1 0.500 0.250 0.250
Ru2 0.000 0.026 0.083
```

Values from the calculation:
Density of states at the Fermi level (states/eV/cell): 5.05



Relative energies in meV per atom: A 42; B 447; C 290; D 0



## A
# KRu2Au

An optimized crystal structure of KRu2Au (PBE, Alexandria).

The structure in CIF format:
```
data_KRu2Au
_chemical_formula_sum 'K1 Ru2 Au1'
_cell_length_a 2.792
_cell_length_b 3.613
_cell_length_c 8.133
_cell_angle_alpha 90.00
_cell_angle_beta 90.00
_cell_angle_gamma 90.00
_symmetry_space_group_name_H-M 'P 1'
_symmetry_Int_Tables_number 1
_symmetry_space_group_name_Hall 'P 1'
loop_
_atom_site_label
_atom_site_fract_x
_atom_site_fract_y
_atom_site_fract_z
Ru1 0.000 0.000 0.084
Au1 0.000 0.000 0.443
Ru2 0.500 0.500 0.220
K1 0.500 0.500 0.753
```

Values from the calculation:
Density of states at the Fermi level (states/eV/cell): 2.77



## B
# KRu2Au

An optimized crystal structure of KRu2Au (PBE, Alexandria).

The structure in CIF format:
```
data_KRu2Au
_chemical_formula_sum 'K1 Ru2 Au1'
_cell_length_a 5.509
_cell_length_b 5.509
_cell_length_c 5.509
_cell_angle_alpha 137.18
_cell_angle_beta 137.18
_cell_angle_gamma 62.17
_symmetry_space_group_name_H-M 'P 1'
_symmetry_Int_Tables_number 1
_symmetry_space_group_name_Hall 'P 1'
loop_
_atom_site_label
_atom_site_fract_x
_atom_site_fract_y
_atom_site_fract_z
Au1 0.250 0.750 0.500
Ru1 0.500 0.500 0.000
K1 0.750 0.250 0.500
Ru2 0.000 0.000 0.000
```

Values from the calculation:
Density of states at the Fermi level (states/eV/cell): 3.52



Relative energies in meV per atom: A 0; B 776